{
  "formula": "DyGeSb",
  "functional": "PBE",
  "state": "optimized geometry",
  "final_energy_ev_per_atom": -4.812,
  "spacegroup": "P-6m2 (187)",
  "lattice_angstrom": [[4.8111, 0.0000, 0.0000], [-2.4056, 4.1666, 0.0000], [0.0000, 0.0000, 3.7916]],
  "species": ["Dy", "Ge", "Sb"],
  "fractional_positions": [[0.0000, 0.0000, 0.0000], [0.6667, 0.3333, 0.5000], [0.3333, 0.6667, 0.5000]]
}

{
  "formula": "Dy5GeSb4",
  "functional": "PBE",
  "state": "optimized geometry",
  "final_energy_ev_per_atom": -5.439,
  "spacegroup": "I4/m (87)",
  "lattice_angstrom": [[-4.8487, 4.8487, 3.0710], [4.8487, -4.8487, 3.0710], [4.8487, 4.8487, -3.0710]],
  "species": ["Dy", "Dy", "Dy", "Dy", "Dy", "Ge", "Sb", "Sb", "Sb", "Sb"],
  "fractional_positions": [[0.0000, 0.0000, 0.0000], [0.2115, 0.4016, 0.6130], [0.4016, 0.7885, 0.1901], [0.5984, 0.2115, 0.8099], [0.7885, 0.5984, 0.3870], [0.5000, 0.5000, 0.0000], [0.0952, 0.6975, 0.7927], [0.3025, 0.0952, 0.3978], [0.6975, 0.9048, 0.6022], [0.9048, 0.3025, 0.2073]]
}

{
  "formula": "DyGe2Sb",
  "functional": "PBE",
  "state": "optimized geometry",
  "final_energy_ev_per_atom": -4.858,
  "spacegroup": "P4/mmm (123)",
  "lattice_angstrom": [[4.5968, 0.0000, 0.0000], [0.0000, 4.5968, 0.0000], [0.0000, 0.0000, 4.2602]],
  "species": ["Dy", "Ge", "Ge", "Sb"],
  "fractional_positions": [[0.0000, 0.0000, 0.0000], [0.0000, 0.5000, 0.5000], [0.5000, 0.0000, 0.5000], [0.5000, 0.5000, 0.0000]]
}

{
  "formula": "Dy5GeSb2",
  "functional": "PBE",
  "state": "optimized geometry",
  "final_energy_ev_per_atom": -4.979,
  "spacegroup": "Cmcm (63)",
  "lattice_angstrom": [[2.9877, -6.2742, 0.0000], [2.9877, 6.2742, 0.0000], [0.0000, 0.0000, 13.9207]],
  "species": ["Dy", "Dy", "Dy", "Dy", "Dy", "Dy", "Dy", "Dy", "Dy", "Dy", "Ge", "Ge", "Sb", "Sb", "Sb", "Sb"],
  "fractional_positions": [[0.0593, 0.9407, 0.6182], [0.0593, 0.9407, 0.8818], [0.3129, 0.6871, 0.2500], [0.3651, 0.6349, 0.5793], [0.3651, 0.6349, 0.9207], [0.6349, 0.3651, 0.0793], [0.6349, 0.3651, 0.4207], [0.6871, 0.3129, 0.7500], [0.9407, 0.0593, 0.1182], [0.9407, 0.0593, 0.3818], [0.2287, 0.7713, 0.7500], [0.7713, 0.2287, 0.2500], [0.1775, 0.8225, 0.0710], [0.1775, 0.8225, 0.4290], [0.8225, 0.1775, 0.5710], [0.8225, 0.1775, 0.9290]]
}

{
  "formula": "Dy6GeSb2",
  "functional": "PBE",
  "state": "optimized geometry",
  "final_energy_ev_per_atom": -5.167,
  "spacegroup": "P2_1/c (14)",
  "lattice_angstrom": [[6.2890, 0.0000, 0.0000], [0.0000, 8.1685, 0.0000], [-6.2064, 0.0000, 10.0326]],
  "species": ["Dy", "Dy", "Dy", "Dy", "Dy", "Dy", "Dy", "Dy", "Dy", "Dy", "Dy", "Dy", "Ge", "Ge", "Sb", "Sb", "Sb", "Sb"],
  "fractional_positions": [[0.0790, 0.1861, 0.4508], [0.0790, 0.3139, 0.9508], [0.3211, 0.6734, 0.4526], [0.3211, 0.8266, 0.9526], [0.3589, 0.0327, 0.2324], [0.3589, 0.4673, 0.7324], [0.6411, 0.5327, 0.2676], [0.6411, 0.9673, 0.7676], [0.6789, 0.1734, 0.0474], [0.6789, 0.3266, 0.5474], [0.9210, 0.6861, 0.0492], [0.9210, 0.8139, 0.5492], [0.5000, 0.0000, 0.5000], [0.5000, 0.5000, 0.0000], [0.1588, 0.1147, 0.7480], [0.1588, 0.3853, 0.2480], [0.8412, 0.6147, 0.7520], [0.8412, 0.8853, 0.2520]]
}

{
  "formula": "DyGeSb2",
  "functional": "PBE",
  "state": "optimized geometry",
  "final_energy_ev_per_atom": -4.725,
  "spacegroup": "P4/mmm (123)",
  "lattice_angstrom": [[4.8482, 0.0000, 0.0000], [0.0000, 4.8482, 0.0000], [0.0000, 0.0000, 4.2613]],
  "species": ["Dy", "Ge", "Sb", "Sb"],
  "fractional_positions": [[0.0000, 0.0000, 0.0000], [0.5000, 0.5000, 0.0000], [0.0000, 0.5000, 0.5000], [0.5000, 0.0000, 0.5000]]
}

{
  "formula": "Dy8Ge5Sb",
  "functional": "PBE",
  "state": "optimized geometry",
  "final_energy_ev_per_atom": -5.451,
  "spacegroup": "I-4 (82)",
  "lattice_angstrom": [[-4.4662, 4.4662, 4.4238], [4.4662, -4.4662, 4.4238], [4.4662, 4.4662, -4.4238]],
  "species": ["Dy", "Dy", "Dy", "Dy", "Dy", "Dy", "Dy", "Dy", "Ge", "Ge", "Ge", "Ge", "Ge", "Sb"],
  "fractional_positions": [[0.1261, 0.2474, 0.7477], [0.1307, 0.7343, 0.7430], [0.2657, 0.0087, 0.3964], [0.4996, 0.3784, 0.2523], [0.6123, 0.8693, 0.6036], [0.6216, 0.8739, 0.1213], [0.7526, 0.5004, 0.8787], [0.9913, 0.3877, 0.2570], [0.2454, 0.6241, 0.1221], [0.3759, 0.4980, 0.6212], [0.5020, 0.1232, 0.8779], [0.7500, 0.2500, 0.5000], [0.8768, 0.7546, 0.3788], [0.0000, 0.0000, 0.0000]]
}

{
  "formula": "Dy2GeSb",
  "functional": "PBE",
  "state": "optimized geometry",
  "final_energy_ev_per_atom": -5.430,
  "e_above_lowest_polymorph_mev_per_atom": 0,
  "spacegroup": "Cmcm (63)",
  "lattice_angstrom": [[2.1854, -11.5839, 0.0000], [2.1854, 11.5839, 0.0000], [0.0000, 0.0000, 4.1659]],
  "species": ["Dy", "Dy", "Dy", "Dy", "Ge", "Ge", "Sb", "Sb"],
  "fractional_positions": [[0.0606, 0.9394, 0.7500], [0.3228, 0.6772, 0.7500], [0.6772, 0.3228, 0.2500], [0.9394, 0.0606, 0.2500], [0.4577, 0.5423, 0.7500], [0.5423, 0.4577, 0.2500], [0.1895, 0.8105, 0.7500], [0.8105, 0.1895, 0.2500]]
}

{
  "formula": "Dy8GeSb5",
  "functional": "PBE",
  "state": "optimized geometry",
  "final_energy_ev_per_atom": -5.398,
  "spacegroup": "I-4 (82)",
  "lattice_angstrom": [[-4.5505, 4.5505, 4.6083], [4.5505, -4.5505, 4.6083], [4.5505, 4.5505, -4.6083]],
  "species": ["Dy", "Dy", "Dy", "Dy", "Dy", "Dy", "Dy", "Dy", "Ge", "Sb", "Sb", "Sb", "Sb", "Sb"],
  "fractional_positions": [[0.1219, 0.2261, 0.7539], [0.1232, 0.7429, 0.7629], [0.2571, 0.0199, 0.3803], [0.4722, 0.3680, 0.2461], [0.6320, 0.8781, 0.1042], [0.6397, 0.8768, 0.6197], [0.7739, 0.5278, 0.8958], [0.9801, 0.3603, 0.2371], [0.0000, 0.0000, 0.0000], [0.2581, 0.6299, 0.1315], [0.3701, 0.5016, 0.6282], [0.4984, 0.1266, 0.8685], [0.7500, 0.2500, 0.5000], [0.8734, 0.7419, 0.3718]]
}

{
  "formula": "DyGeSb",
  "functional": "PBE",
  "state": "optimized geometry",
  "final_energy_ev_per_atom": -5.156,
  "spacegroup": "Cmcm (63)",
  "lattice_angstrom": [[2.1735, -8.1492, 0.0000], [2.1735, 8.1492, 0.0000], [0.0000, 0.0000, 4.0925]],
  "species": ["Dy", "Dy", "Ge", "Ge", "Sb", "Sb"],
  "fractional_positions": [[0.0986, 0.9014, 0.7500], [0.9014, 0.0986, 0.2500], [0.4487, 0.5513, 0.7500], [0.5513, 0.4487, 0.2500], [0.2517, 0.7483, 0.2500], [0.7483, 0.2517, 0.7500]]
}